{"formula": "ThGa4Cu2", "functional": "PBE", "state": "relaxed", "cell": [[-0.669, -1.956, -3.787], [-3.226, -2.518, 1.870], [-2.782, 5.745, -2.476]], "species": ["Ga", "Ga", "Ga", "Ga", "Th", "Cu", "Cu"], "fractional_positions": [[0.500, 0.821, 0.641], [0.000, 0.314, 0.628], [0.500, 0.179, 0.359], [0.000, 0.686, 0.372], [0.000, 0.000, 0.000], [0.500, 0.407, 0.815], [0.500, 0.593, 0.185]], "dft_energy_ev_per_atom": -4.223, "dos_ef_per_ev_atom": 0.277, "polymorph_energy_mev_per_atom": 78, "sg": "Cmmm (65)", "delta_e_f_ev_per_fu": -1.8}


{"formula": "ThGa12Cu4", "functional": "PBE", "state": "relaxed", "cell": [[-2.548, -6.053, -3.536], [6.096, -1.786, 3.911], [-5.256, 2.574, 4.625]], "species": ["Ga", "Ga", "Ga", "Ga", "Ga", "Ga", "Ga", "Ga", "Ga", "Ga", "Ga", "Ga", "Cu", "Cu", "Cu", "Cu", "Th"], "fractional_positions": [[0.843, 0.349, 0.192], [0.157, 0.651, 0.808], [0.843, 0.651, 0.495], [0.349, 0.505, 0.157], [0.157, 0.349, 0.505], [0.495, 0.843, 0.651], [0.505, 0.157, 0.349], [0.651, 0.808, 0.157], [0.808, 0.157, 0.651], [0.349, 0.192, 0.843], [0.192, 0.843, 0.349], [0.651, 0.495, 0.843], [0.500, 0.000, 0.000], [0.500, 0.500, 0.500], [0.000, 0.500, 0.000], [0.000, 0.000, 0.500], [0.000, 0.000, 0.000]], "dft_energy_ev_per_atom": -3.577, "dos_ef_per_ev_atom": 0.518, "sg": "Im-3 (204)", "delta_e_f_ev_per_fu": -0.7}


{"formula": "Th4GaCu", "functional": "PBE", "state": "relaxed", "cell": [[5.654, 0.000, 0.000], [0.000, 7.504, 0.000], [0.000, 0.000, 7.504]], "species": ["Th", "Th", "Th", "Th", "Th", "Th", "Th", "Th", "Ga", "Ga", "Cu", "Cu"], "fractional_positions": [[0.500, 0.838, 0.656], [0.500, 0.656, 0.162], [0.000, 0.344, 0.162], [0.000, 0.838, 0.344], [0.500, 0.162, 0.344], [0.500, 0.344, 0.838], [0.000, 0.656, 0.838], [0.000, 0.162, 0.656], [0.750, 0.000, 0.000], [0.250, 0.000, 0.000], [0.250, 0.500, 0.500], [0.750, 0.500, 0.500]], "dft_energy_ev_per_atom": -6.357, "dos_ef_per_ev_atom": 0.993, "polymorph_energy_mev_per_atom": 0, "sg": "P4/mcc (124)", "delta_e_f_ev_per_fu": -1.3}


{"formula": "ThGa7Cu5", "functional": "PBE", "state": "relaxed", "cell": [[-3.324, -3.547, -2.005], [2.089, -6.375, 0.918], [-4.794, -1.889, 4.393]], "species": ["Ga", "Ga", "Ga", "Ga", "Ga", "Ga", "Ga", "Cu", "Cu", "Cu", "Cu", "Cu", "Th"], "fractional_positions": [[0.992, 0.659, 0.358], [0.272, 0.228, 0.228], [0.508, 0.195, 0.789], [0.508, 0.789, 0.195], [0.992, 0.358, 0.659], [0.646, 0.354, 0.354], [0.349, 0.651, 0.651], [0.005, 0.498, 0.998], [0.005, 0.998, 0.498], [0.499, 0.998, 0.498], [0.499, 0.498, 0.998], [0.727, 0.773, 0.773], [0.999, 0.001, 0.001]], "dft_energy_ev_per_atom": -4.013, "dos_ef_per_ev_atom": 0.337, "sg": "Imm2 (44)", "delta_e_f_ev_per_fu": -3.1}


{"formula": "Th4GaCu", "functional": "PBE", "state": "relaxed", "cell": [[7.268, 0.000, 0.000], [0.000, 7.268, 0.000], [-3.634, -3.634, 6.176]], "species": ["Ga", "Ga", "Cu", "Cu", "Th", "Th", "Th", "Th", "Th", "Th", "Th", "Th"], "fractional_positions": [[0.500, 0.500, 0.000], [0.000, 0.000, 0.000], [0.250, 0.250, 0.500], [0.750, 0.750, 0.500], [0.525, 0.025, 0.732], [0.708, 0.525, 0.732], [0.975, 0.792, 0.268], [0.792, 0.292, 0.268], [0.208, 0.708, 0.732], [0.292, 0.475, 0.268], [0.025, 0.208, 0.732], [0.475, 0.975, 0.268]], "dft_energy_ev_per_atom": -6.220, "dos_ef_per_ev_atom": 1.273, "polymorph_energy_mev_per_atom": 137, "sg": "I4/mcm (140)", "delta_e_f_ev_per_fu": -0.5}


{"formula": "Th2GaCu", "functional": "PBE", "state": "relaxed", "cell": [[3.575, 0.000, 0.000], [0.000, 3.575, 0.000], [0.000, 0.000, 7.493]], "species": ["Th", "Th", "Cu", "Ga"], "fractional_positions": [[0.000, 0.000, 0.760], [0.000, 0.000, 0.240], [0.500, 0.500, 0.000], [0.500, 0.500, 0.500]], "dft_energy_ev_per_atom": -5.725, "dos_ef_per_ev_atom": 0.592, "sg": "P4/mmm (123)", "delta_e_f_ev_per_fu": -0.9}